Entry from Alexandria via LeMat-Bulk: a relaxed structure of MgRe2Cl (PBEsol).

For the formation energy from raw total energies, the calculation gives 1.30 eV per atom. The calculation puts the energy relative to the lowest polymorph listed for this composition at 298 meV/atom.

The structure belongs to space group P4/mmm (No. 123); the cell edges are 4.6088, 4.6088 and 2.7920 Å and the angles 90.00°, 90.00° and 90.00°. The asymmetric unit holds Mg at (0.0000, 0.0000, 0.0000), Re at (0.0000, 0.5000, 0.5000) and Cl at (0.5000, 0.5000, 0.0000).